{"formula": "Li3GaC", "functional": "PBE", "state": "relaxed", "lattice": [[-3.1397, -2.5624, 0.5557], [2.4027, -3.1589, -0.9905], [1.0496, -0.4338, 3.9297]], "species": ["C", "Ga", "Li", "Li", "Li"], "frac_coords": [[0.0000, 0.0000, 0.0000], [0.5000, 0.5000, 0.5000], [0.0000, 0.5000, 0.0000], [0.0000, 0.0000, 0.5000], [0.5000, 0.0000, 0.0000]], "formation_enthalpy_0k_mev_per_atom": 371, "space_group": "No. 221", "magnetic_moment_mub_per_cell": 0.000, "vol_a3_per_cell": 68}